12
Lattice="-3.025 -5.147 -0.418 6.811 -4.110 1.319 -3.046 4.784 5.990" Properties=species:S:1:pos:R:3 comment="Pa2SbTe2O | Alexandria | PBE-GGA | relaxed" formation_energy_uncorrected_mev_per_atom=-1347 pbc="T T T"
Pa 0.246 -0.595 5.556
Pa 0.493 -3.878 1.336
Pa 4.405 -2.752 2.009
Pa -3.665 -1.721 4.883
Sb -0.756 -1.287 -0.104
Sb -2.269 -3.860 -0.313
Te 2.663 -5.296 3.100
Te 1.769 -1.270 2.842
Te -1.030 -3.203 4.049
Te -1.924 0.823 3.792
O 1.136 -5.915 0.346
O 2.649 -3.342 0.555

10
Lattice="4.980 0.000 -2.669 -3.205 4.653 0.000 0.503 0.347 6.919" Properties=species:S:1:pos:R:3 comment="TmBe3Au6 | Alexandria | PBE-GGA | relaxed" ef_ev_per_atom=-0.281 pbc="T T T"
Tm 2.021 4.823 3.771
Be 2.671 1.840 4.985
Be -0.043 3.401 5.901
Be 1.040 0.716 1.940
Au 0.508 2.092 3.924
Au -1.247 3.254 1.257
Au 3.659 0.463 -0.342
Au -1.121 4.382 3.951
Au 3.018 2.044 2.596
Au 1.384 2.329 0.189

no.,magnetic moment (μB per atom)
1,0.276
2,0.000